Record 1
BaDy2O | GGA-PBE | relaxed

```
BaDy2O
1.0
1.792 1.034 9.776
-1.792 1.034 9.776
0.000 -2.069 9.776
Ba Dy O
1 2 1
Direct
0.000 0.000 0.000
0.123 0.123 0.123
0.877 0.877 0.877
0.500 0.500 0.500
```

Results
- final energy (eV per atom) = -5.16
- E_form (uncorrected) (eV/atom) = -1.1349

Record 2
Dy8Cd3Co2 | GGA-PBE | relaxed

```
Dy8Cd3Co2
1.0
8.159 -3.524 0.000
8.159 3.524 0.000
-1.181 0.000 6.106
Dy Cd Co
8 3 2
Direct
0.082 0.082 0.282
0.096 0.598 0.139
0.309 0.309 0.616
0.402 0.904 0.861
0.598 0.096 0.139
0.691 0.691 0.384
0.904 0.402 0.861
0.918 0.918 0.718
0.311 0.689 0.500
0.500 0.500 0.000
0.689 0.311 0.500
0.228 0.228 0.182
0.772 0.772 0.818
```

Results
- final energy (eV per atom) = -4.24
- ΔH_f (0 K) (kJ/mol of atoms) = -10

Record 3
CuW3Cl7 | GGA-PBE | relaxed

```
CuW3Cl7
1.0
13.178 0.000 0.000
0.000 13.178 0.000
0.000 0.000 13.178
Cu W Cl
8 24 56
Direct
0.062 0.062 0.062
0.062 0.438 0.438
0.438 0.062 0.438
0.438 0.438 0.062
0.562 0.562 0.938
0.562 0.938 0.562
0.938 0.562 0.562
0.938 0.938 0.938
0.024 0.529 0.864
0.024 0.971 0.636
0.029 0.136 0.524
0.029 0.364 0.976
0.136 0.524 0.029
0.136 0.976 0.471
0.364 0.524 0.471
0.364 0.976 0.029
0.471 0.136 0.976
0.471 0.364 0.524
0.476 0.529 0.636
0.476 0.971 0.864
0.524 0.029 0.136
0.524 0.471 0.364
0.529 0.636 0.476
0.529 0.864 0.024
0.636 0.024 0.971
0.636 0.476 0.529
0.864 0.024 0.529
0.864 0.476 0.971
0.971 0.636 0.024
0.971 0.864 0.476
0.976 0.029 0.364
0.976 0.471 0.136
0.058 0.574 0.684
0.058 0.926 0.816
0.074 0.184 0.942
0.074 0.316 0.558
0.078 0.625 0.180
0.078 0.875 0.320
0.125 0.680 0.922
0.125 0.820 0.578
0.135 0.135 0.365
0.135 0.365 0.135
0.180 0.078 0.625
0.180 0.422 0.875
0.184 0.558 0.426
0.184 0.942 0.074
0.316 0.558 0.074
0.316 0.942 0.426
0.320 0.078 0.875
0.320 0.422 0.625
0.365 0.135 0.135
0.365 0.365 0.365
0.375 0.680 0.578
0.375 0.820 0.922
0.422 0.625 0.320
0.422 0.875 0.180
0.426 0.184 0.558
0.426 0.316 0.942
0.442 0.574 0.816
0.442 0.926 0.684
0.558 0.074 0.316
0.558 0.426 0.184
0.574 0.684 0.058
0.574 0.816 0.442
0.578 0.125 0.820
0.578 0.375 0.680
0.625 0.180 0.078
0.625 0.320 0.422
0.635 0.635 0.635
0.635 0.865 0.865
0.680 0.578 0.375
0.680 0.922 0.125
0.684 0.058 0.574
0.684 0.442 0.926
0.816 0.058 0.926
0.816 0.442 0.574
0.820 0.578 0.125
0.820 0.922 0.375
0.865 0.635 0.865
0.865 0.865 0.635
0.875 0.180 0.422
0.875 0.320 0.078
0.922 0.125 0.680
0.922 0.375 0.820
0.926 0.684 0.442
0.926 0.816 0.058
0.942 0.074 0.184
0.942 0.426 0.316
```

Results
- final energy (eV per atom) = -5.76
- E_form (uncorrected) (eV/atom) = -0.6847

Record 4
PmYTh | GGA-PBE | relaxed

```
PmYTh
1.0
3.550 0.000 0.000
0.000 5.395 0.000
-1.765 0.000 10.276
Pm Y Th
2 2 2
Direct
0.044 0.250 0.084
0.956 0.750 0.916
0.376 0.250 0.755
0.624 0.750 0.245
0.210 0.250 0.417
0.790 0.750 0.583
```

Results
- final energy (eV per atom) = -6.15
- ΔH_f (0 K) (kJ/mol of atoms) = 6

> Among the records above, which one has the lowest final energy?

PmYTh

> final energy of number 2 (Dy8Cd3Co2)?

-4.24 eV per atom

> Among the records above, which one has the highest final energy?

Dy8Cd3Co2